1.
SrSb2Au: optimized geometry, PBE-GGA.

Cell lengths 4.8171, 4.8171, 4.5940 Å; angles 90.00, 90.00, 90.00 degrees
Last column: nearest neighbours and their distance in Å.
Fractional positions:
Sr: 0.0000 0.0000 0.0000  8 Sb 3.33, 4 Au 3.41
Sb: 0.0000 0.5000 0.5000  4 Au 3.33, 4 Sr 3.33, 4 Sb 3.41
Sb: 0.5000 0.0000 0.5000  4 Au 3.33, 4 Sr 3.33, 4 Sb 3.41
Au: 0.5000 0.5000 0.0000  8 Sb 3.33, 4 Sr 3.41

Summary:
M_tot	0.00	μB/f.u.
crystal system	tetragonal
mass density	8.23	g cm⁻³
uncorrected formation energy	-0.4092	eV/atom
Fermi-level density of states	2.6	states/eV per cell
space group	No. 123
final energy	-3.710	eV per atom

=====

2.
Th2Mn3Ge4: optimized geometry, PBE-GGA.

Cell lengths 8.1119, 8.1119, 7.6474 Å; angles 90.00, 90.00, 138.02 degrees
Last column: nearest neighbours and their distance in Å.
Fractional positions:
Th: 0.1140 0.8860 0.9110  8 Ge 3.08-3.16, 6 Mn 3.20-3.45
Th: 0.3860 0.6140 0.4110  8 Ge 3.08-3.16, 6 Mn 3.20-3.45
Th: 0.6140 0.3860 0.5890  8 Ge 3.08-3.16, 6 Mn 3.20-3.45
Th: 0.8860 0.1140 0.0890  8 Ge 3.08-3.16, 6 Mn 3.20-3.45
Mn: 0.0000 0.0000 0.5000  4 Ge 2.52
Mn: 0.0336 0.4664 0.7500  5 Ge 2.51-2.66
Mn: 0.4664 0.0336 0.2500  5 Ge 2.51-2.66
Mn: 0.5000 0.5000 0.0000  4 Ge 2.52
Mn: 0.5336 0.9664 0.7500  5 Ge 2.51-2.66
Mn: 0.9664 0.5336 0.2500  5 Ge 2.51-2.66
Ge: 0.1868 0.8132 0.5348  5 Mn 2.64-2.84
Ge: 0.1995 0.3005 0.7500  3 Mn 2.51-2.52
Ge: 0.3005 0.1995 0.2500  3 Mn 2.51-2.52
Ge: 0.3132 0.6868 0.0348  5 Mn 2.64-2.84
Ge: 0.6868 0.3132 0.9652  5 Mn 2.64-2.84
Ge: 0.6995 0.8005 0.7500  3 Mn 2.51-2.52
Ge: 0.8005 0.6995 0.2500  3 Mn 2.51-2.52
Ge: 0.8132 0.1868 0.4652  5 Mn 2.64-2.84

Summary:
M_tot	8.28	μB/f.u.
crystal system	orthorhombic
mass density	9.07	g cm⁻³
formation energy	-393	meV per atom
Fermi-level density of states	14.6	states/eV per cell
space group	No. 64
final energy	-7.151	eV per atom

=====

3.
Cr3H2Ru: optimized geometry, PBE-GGA.

Cell lengths 5.0620, 5.0620, 9.2190 Å; angles 117.05, 117.05, 30.67 degrees
Last column: nearest neighbours and their distance in Å.
Fractional positions:
Cr: 0.1096 0.1096 0.4724  3 H 1.85-2.01
Cr: 0.1164 0.1164 0.9758  3 H 1.82-1.96
Cr: 0.3813 0.3813 0.2736  3 H 1.88-1.89
Cr: 0.6187 0.6187 0.7264  3 H 1.88-1.89
Cr: 0.8836 0.8836 0.0242  3 H 1.82-1.96
Cr: 0.8904 0.8904 0.5276  3 H 1.85-2.01
H: 0.2392 0.2392 0.8764  5 Cr 1.82-1.96, 1 Ru 2.01
H: 0.2674 0.2674 0.3901  4 Cr 1.85-2.01, 2 Ru 2.04
H: 0.7326 0.7326 0.6099  4 Cr 1.85-2.01, 2 Ru 2.04
H: 0.7608 0.7608 0.1236  5 Cr 1.82-1.96, 1 Ru 2.01
Ru: 0.3822 0.3822 0.7748  3 H 2.01-2.04
Ru: 0.6178 0.6178 0.2252  3 H 2.01-2.04

Summary:
M_tot	0.00	μB/f.u.
crystal system	monoclinic
mass density	8.10	g cm⁻³
Fermi-level density of states	11.6	states/eV per cell
space group	No. 12
final energy	-7.444	eV per atom

=====

4.
RePPb2: optimized geometry, PBE-GGA.

Cell lengths 3.3210, 3.3210, 7.7109 Å; angles 90.00, 90.00, 90.00 degrees
Last column: nearest neighbours and their distance in Å.
Fractional positions:
Re: 0.0000 0.0000 0.0000  8 Pb 2.95
P: 0.0000 0.0000 0.5000  8 Pb 3.13, 4 P 3.32
Pb: 0.5000 0.5000 0.2317  4 Re 2.95, 4 P 3.13
Pb: 0.5000 0.5000 0.7683  4 Re 2.95, 4 P 3.13

Summary:
M_tot	0.00	μB/f.u.
crystal system	tetragonal
mass density	12.33	g cm⁻³
formation energy	1016	meV per atom
Fermi-level density of states	4.4	states/eV per cell
space group	No. 123
final energy	-5.303	eV per atom

=====

5.
BaB6Ir12: optimized geometry, PBE-GGA.

Cell lengths 6.5731, 6.5731, 6.5731 Å; angles 103.53, 103.53, 103.53 degrees
Last column: nearest neighbours and their distance in Å.
Fractional positions:
Ba: 0.0000 0.0000 0.0000  6 B 3.39, 18 Ir 3.41-3.57
B: 0.2287 0.2287 0.6629  7 Ir 2.25-2.41
B: 0.2287 0.6629 0.2287  7 Ir 2.25-2.41
B: 0.3371 0.7713 0.7713  7 Ir 2.25-2.41
B: 0.6629 0.2287 0.2287  7 Ir 2.25-2.41
B: 0.7713 0.3371 0.7713  7 Ir 2.25-2.41
B: 0.7713 0.7713 0.3371  7 Ir 2.25-2.41
Ir: 0.1349 0.5000 0.8651  4 B 2.25-2.26
Ir: 0.1349 0.8651 0.5000  4 B 2.25-2.26
Ir: 0.1861 0.4519 0.4519  3 B 2.26-2.41
Ir: 0.4519 0.1861 0.4519  3 B 2.26-2.41
Ir: 0.4519 0.4519 0.1861  3 B 2.26-2.41
Ir: 0.5000 0.1349 0.8651  4 B 2.25-2.26
Ir: 0.5000 0.8651 0.1349  4 B 2.25-2.26
Ir: 0.5481 0.5481 0.8139  3 B 2.26-2.41
Ir: 0.5481 0.8139 0.5481  3 B 2.26-2.41
Ir: 0.8139 0.5481 0.5481  3 B 2.26-2.41
Ir: 0.8651 0.1349 0.5000  4 B 2.25-2.26
Ir: 0.8651 0.5000 0.1349  4 B 2.25-2.26

Summary:
M_tot	0.00	μB/f.u.
crystal system	trigonal
mass density	16.30	g cm⁻³
formation energy	-220	meV per atom
Fermi-level density of states	15.0	states/eV per cell
space group	No. 166
final energy	-8.026	eV per atom

=====

6.
Na3CuBr6: optimized geometry, PBE-GGA.

Cell lengths 6.9577, 7.1575, 12.6544 Å; angles 90.00, 108.84, 90.00 degrees
Last column: nearest neighbours and their distance in Å.
Fractional positions:
Na: 0.0000 0.0000 0.0000  6 Br 2.83-3.16
Na: 0.0000 0.5000 0.5000  6 Br 2.83-3.16
Na: 0.2846 0.1240 0.7620  5 Br 2.89-3.08
Na: 0.2846 0.3760 0.2620  5 Br 2.89-3.08
Na: 0.7154 0.6240 0.7380  5 Br 2.89-3.08
Na: 0.7154 0.8760 0.2380  5 Br 2.89-3.08
Cu: 0.5000 0.0000 0.5000  4 Br 2.36-2.41
Cu: 0.5000 0.5000 0.0000  4 Br 2.36-2.41
Br: 0.1126 0.5118 0.7358  3 Na 2.83-3.00
Br: 0.1126 0.9882 0.2358  3 Na 2.83-3.00
Br: 0.3242 0.6839 0.0998  1 Cu 2.41
Br: 0.3242 0.8161 0.5998  1 Cu 2.41
Br: 0.3891 0.2227 0.0626  1 Cu 2.36
Br: 0.3891 0.2773 0.5626  1 Cu 2.36
Br: 0.6109 0.7227 0.4374  1 Cu 2.36
Br: 0.6109 0.7773 0.9374  1 Cu 2.36
Br: 0.6758 0.1839 0.4002  1 Cu 2.41
Br: 0.6758 0.3161 0.9002  1 Cu 2.41
Br: 0.8874 0.0118 0.7642  3 Na 2.83-3.00
Br: 0.8874 0.4882 0.2642  3 Na 2.83-3.00

Summary:
M_tot	0.00	μB/f.u.
crystal system	monoclinic
mass density	3.41	g cm⁻³
uncorrected formation energy	-0.9487	eV/atom
space group	No. 14
final energy	-2.758	eV per atom

=====

7.
Nd2Er6Tm3Pu: optimized geometry, PBE-GGA.

Cell lengths 6.1356, 6.1356, 11.3185 Å; angles 90.04, 90.04, 120.03 degrees
Last column: nearest neighbours and their distance in Å.
Fractional positions:
Nd: 0.1667 0.8333 0.0000  6 Er 3.51, 3 Pu 3.54, 3 Nd 3.54
Nd: 0.8333 0.1667 0.0000  6 Er 3.51, 3 Pu 3.54, 3 Nd 3.54
Er: 0.1702 0.4992 0.7486  3 Tm 3.47-3.49, 1 Pu 3.49, 6 Er 3.49-3.57, 2 Nd 3.51
Er: 0.1721 0.1721 0.2512  3 Tm 3.46-3.49, 1 Pu 3.49, 6 Er 3.49-3.57, 2 Nd 3.51
Er: 0.4992 0.1702 0.7486  3 Tm 3.47-3.49, 1 Pu 3.49, 6 Er 3.49-3.57, 2 Nd 3.51
Er: 0.5008 0.8298 0.2514  3 Tm 3.47-3.49, 1 Pu 3.49, 6 Er 3.49-3.57, 2 Nd 3.51
Er: 0.8279 0.8279 0.7488  3 Tm 3.46-3.49, 1 Pu 3.49, 6 Er 3.49-3.57, 2 Nd 3.51
Er: 0.8298 0.5008 0.2514  3 Tm 3.47-3.49, 1 Pu 3.49, 6 Er 3.49-3.57, 2 Nd 3.51
Tm: 0.1666 0.8334 0.5000  6 Er 3.48-3.49, 6 Tm 3.54
Tm: 0.5000 0.5000 0.5000  6 Er 3.46-3.47, 6 Tm 3.54
Tm: 0.8334 0.1666 0.5000  6 Er 3.48-3.49, 6 Tm 3.54
Pu: 0.5000 0.5000 0.0000  6 Er 3.49, 6 Nd 3.54

Summary:
M_tot	5.87	μB/f.u.
crystal system	monoclinic
mass density	9.20	g cm⁻³
formation energy	30	meV per atom
Fermi-level density of states	21.5	states/eV per cell
space group	No. 12
final energy	-5.358	eV per atom

=====

8.
TlRhSe4: optimized geometry, PBE-GGA.

Cell lengths 5.7704, 5.7704, 5.7704 Å; angles 60.00, 60.00, 60.00 degrees
Last column: nearest neighbours and their distance in Å.
Fractional positions:
Tl: 0.0000 0.0000 0.0000  12 Se 3.39, 4 Rh 3.53
Rh: 0.7500 0.7500 0.7500  12 Se 3.38, 4 Tl 3.53
Se: 0.3762 0.3762 0.3762  6 Se 2.86-2.91
Se: 0.3762 0.3762 0.8715  6 Se 2.86-2.91
Se: 0.3762 0.8715 0.3762  6 Se 2.86-2.91
Se: 0.8715 0.3762 0.3762  6 Se 2.86-2.91

Summary:
M_tot	1.70	μB/f.u.
crystal system	cubic
mass density	7.62	g cm⁻³
uncorrected formation energy	0.6508	eV/atom
Fermi-level density of states	7.5	states/eV per cell
space group	No. 216
offset from the most stable computed form	870	meV per atom
final energy	-3.292	eV per atom

=====

9.
B2AuSO: optimized geometry, PBE-GGA.

Cell lengths 3.4762, 3.4762, 6.6390 Å; angles 90.00, 90.00, 90.00 degrees
Last column: nearest neighbours and their distance in Å.
Fractional positions:
B: 0.0000 0.5000 0.0000  2 O 1.74
B: 0.5000 0.0000 0.0000  2 O 1.74
Au: 0.0000 0.0000 0.5000  4 S 2.46
S: 0.5000 0.5000 0.5000  4 Au 2.46
O: 0.5000 0.5000 0.0000  4 B 1.74

Summary:
M_tot	0.00	μB/f.u.
crystal system	tetragonal
mass density	5.52	g cm⁻³
uncorrected formation energy	1.3091	eV/atom
Fermi-level density of states	1.7	states/eV per cell
space group	No. 123
final energy	-3.834	eV per atom

=====

10.
Ag2SnRu2: optimized geometry, PBE-GGA.

Cell lengths 3.7091, 3.7091, 13.5439 Å; angles 90.00, 90.00, 90.00 degrees
Last column: nearest neighbours and their distance in Å.
Fractional positions:
Ag: 0.0000 0.5000 0.2500  4 Ag 2.62, 4 Ru 2.84
Ag: 0.0000 0.5000 0.7500  4 Ag 2.62, 4 Ru 2.84
Ag: 0.5000 0.0000 0.2500  4 Ag 2.62, 4 Ru 2.84
Ag: 0.5000 0.0000 0.7500  4 Ag 2.62, 4 Ru 2.84
Sn: 0.0000 0.0000 0.0000  8 Ru 2.90
Sn: 0.5000 0.5000 0.5000  8 Ru 2.90
Ru: 0.0000 0.0000 0.4087  1 Ru 2.47
Ru: 0.0000 0.0000 0.5913  1 Ru 2.47
Ru: 0.5000 0.5000 0.0913  1 Ru 2.47
Ru: 0.5000 0.5000 0.9087  1 Ru 2.47

Summary:
M_tot	2.33	μB/f.u.
crystal system	tetragonal
mass density	9.56	g cm⁻³
formation energy	630	meV per atom
Fermi-level density of states	7.7	states/eV per cell
space group	No. 139
offset from the most stable computed form	240	meV per atom
final energy	-5.021	eV per atom

=====

Among the records above, which one has the lowest final energy? BaB6Ir12

=====

Look up the final energy of the second one. -7.151 eV per atom